A relaxed Ta2Os2Au crystal. Source: OQMD via LeMat-Bulk, functional GGA-PBE.

## Properties
Formation energy from the elements   -82 meV per atom
Total magnetic moment   0.0 μB per formula unit
Space group   No. 127

a b c (Å): 7.529 7.529 3.035
angles (deg): 90.00 90.00 90.00
Positions (direct):
Au (0.000, 0.000, 0.000)
Au (0.500, 0.500, 0.000)
Os (0.361, 0.139, 0.000)
Os (0.861, 0.361, 0.000)
Os (0.139, 0.639, 0.000)
Os (0.639, 0.861, 0.000)
Ta (0.657, 0.157, 0.500)
Ta (0.157, 0.343, 0.500)
Ta (0.843, 0.657, 0.500)
Ta (0.343, 0.843, 0.500)